First-principles (PBE-GGA) data for crystalline TlFe2As at its relaxed geometry, as listed in the Alexandria database.

Results
DFT total energy	-22.7	eV for the cell shown
crystal system	monoclinic
formation energy	0.318	eV/atom
Fermi-level density of states	0.913	states/eV/atom

Lattice parameters (Å, degrees): 3.1813 3.0795 7.0579 90.00 101.79 90.00
With the nearest neighbours (Å) after each atom.
Fractional coordinates of all 4 atoms:
1 Tl 0.0000 0.0000 0.0000  4 Fe 2.86, 4 Tl 3.08-3.18
2 Fe 0.4263 0.5000 0.3244  1 Fe 2.43, 4 As 2.51-2.54
3 Fe 0.5737 0.5000 0.6756  1 Fe 2.43, 4 As 2.51-2.54
4 As 0.0000 0.0000 0.5000  8 Fe 2.51-2.54